No. 1
Below is Rh2PbCl at its PBEsol-relaxed geometry, with properties calculated at the meta-GGA SCAN level.

Lattice parameters (Å, degrees): 3.0757 4.9811 5.3458 117.26 105.95 91.57
Fractional positions:
Rh 0.0000 0.0000 0.5000
Rh 0.5000 0.5000 0.5000
Cl 0.5000 0.0000 0.0000
Pb 0.0000 0.5000 0.0000

**Uncorrected formation energy**: 0.40 eV/atom

***

No. 2
Below is Rh2PbCl at its PBEsol-relaxed geometry, with properties calculated at the meta-GGA SCAN level.

Lattice parameters (Å, degrees): 3.1215 4.5074 5.2074 93.94 107.44 90.00
Fractional positions:
Rh 0.2713 0.7294 0.5426
Rh 0.0087 0.9808 0.0175
Cl 0.4879 0.5755 0.9758
Pb 0.7321 0.2143 0.4642

**Uncorrected formation energy**: 0.26 eV/atom

***

No. 3
Below is RhPbCl2 at its PBEsol-relaxed geometry, with properties calculated at the meta-GGA SCAN level.

Lattice parameters (Å, degrees): 3.9895 3.9895 5.7573 110.27 110.27 90.00
Site moments in Bohr magnetons follow the coordinates.
Fractional positions:
Pb 0.5000 0.5000 0.0000  -0.04
Cl 0.0000 0.0000 0.0000  -0.01
Cl 0.7500 0.2500 0.5000  0.05
Rh 0.2500 0.7500 0.5000  1.02

**Uncorrected formation energy**: -0.06 eV/atom

***

No. 4
Below is RhPbCl2 at its PBEsol-relaxed geometry, with properties calculated at the meta-GGA SCAN level.

Lattice parameters (Å, degrees): 3.9474 3.9474 7.1547 73.99 73.99 60.00
Fractional positions:
Cl 0.9576 0.9576 0.1272
Cl 0.7562 0.7562 0.7315
Pb 0.5113 0.5113 0.4661
Rh 0.2749 0.2749 0.1752

**Uncorrected formation energy**: -0.30 eV/atom

***

no.,distance to the lowest polymorph of the same formula (eV per atom)
1,0.364
2,0.230
3,0.238
4,0.000